Entry from Alexandria via LeMat-Bulk: an optimized crystal structure of Pr2MnZn2Rh5 (PBE-GGA).

Structure (POSCAR):
```
Pr2MnZn2Rh5
1.0
-0.394 0.164 3.624
-3.690 -9.094 0.010
9.032 -3.664 1.147
Zn Rh Pr Mn
4 10 4 2
direct
0.000 0.877 0.377
0.000 0.123 0.623
0.000 0.623 0.877
0.000 0.377 0.123
0.500 0.298 0.563
0.500 0.500 0.000
0.500 0.000 0.500
0.500 0.702 0.437
0.500 0.798 0.937
0.500 0.937 0.202
0.500 0.202 0.063
0.500 0.063 0.798
0.500 0.563 0.702
0.500 0.437 0.298
0.000 0.324 0.824
0.000 0.676 0.176
0.000 0.824 0.676
0.000 0.176 0.324
0.000 0.000 0.000
0.000 0.500 0.500
```

Summary:
* electronic total energy: -6.21 eV per atom
* symmetry: No. 127
* energy of formation: -407 meV per atom
* density of states at the Fermi level: 11.85 states/eV/cell